## AlInMoO6 (PBE+U)

Data for a relaxed AlInMoO6 crystal.

As for the total moment: 0.000 μB/f.u. For the final energy, the calculation gives -0.494 Ry per atom.

The space group is P4_2nm (No. 102) and the conventional cell measures 4.709, 4.709 and 9.178 Å, with angles of 90.00, 90.00 and 90.00 degrees. The asymmetric unit holds Al at (0.000, 0.000, 0.000), In at (0.000, 0.000, 0.670), Mo at (0.000, 0.000, 0.338), O at (0.178, 0.178, 0.165), O at (0.206, 0.206, 0.851) and O at (0.211, 0.211, 0.480).